First-principles (PBE-GGA) data for a relaxed structure of Tm2TeSe2, as listed in Alexandria.

ΔE_f (raw): -1.6955 eV/atom
E: -5.506 eV/atom
size of the total moment: 0.000 μB per cell

CIF file:
```
data_Tm2TeSe2
_symmetry_space_group_name_H-M 'I m m m'
_symmetry_Int_Tables_number 71
_symmetry_space_group_name_Hall '-I 2 2'
_cell_length_a 4.1773
_cell_length_b 5.6022
_cell_length_c 13.3026
_cell_angle_alpha 90.00
_cell_angle_beta 90.00
_cell_angle_gamma 90.00
loop_
_atom_site_label
_atom_site_fract_x
_atom_site_fract_y
_atom_site_fract_z
Tm1 0.0000 0.0000 0.1659
Te1 0.0000 0.5000 0.5000
Se1 0.0000 0.5000 0.1914
```